Entry 1:
## Nd2YSn3Pt4 (GGA-PBE)

Data for a relaxed Nd2YSn3Pt4 crystal.

Cell and atoms, written as POSCAR:
```
Nd2YSn3Pt4
1.0
4.595 0.000 0.000
0.000 4.595 0.000
0.000 0.000 11.181
Pt Sn Y Nd
4 3 1 2
Cartesian
2.297 0.000 7.190
0.000 2.297 3.991
0.000 0.000 0.000
2.297 2.297 0.000
0.000 2.297 1.398
0.000 0.000 5.590
2.297 0.000 9.783
2.297 2.297 5.590
0.000 2.297 8.744
2.297 0.000 2.436
```

Properties
**Formation enthalpy at 0 K**: -902.2 meV per atom

---

Entry 2:
## CaAlS2 (GGA-PBE)

Data for a relaxed CaAlS2 crystal.

Cell and atoms, written as POSCAR:
```
CaAlS2
1.0
-0.355 3.624 3.125
2.015 -3.098 3.672
7.232 2.391 -1.952
S Ca Al
4 2 2
Cartesian
3.517 1.693 -0.066
0.504 0.094 1.352
2.608 0.778 4.407
6.214 2.572 2.829
3.467 2.649 2.503
7.241 0.144 2.078
3.236 -1.409 3.310
7.669 3.809 1.520
```

Properties
**Final energy**: -4.695 eV/atom

---

Entry 3:
## Ni3BiI (GGA-PBE)

Data for a relaxed Ni3BiI crystal.

Cell and atoms, written as POSCAR:
```
Ni3BiI
1.0
4.720 0.000 0.000
0.000 4.720 0.000
0.000 0.000 4.720
Ni Bi I
3 1 1
Cartesian
2.360 0.000 0.000
0.000 2.360 0.000
0.000 0.000 2.360
2.360 2.360 2.360
0.000 0.000 0.000
```

Properties
**Polymorph energy (0 for the lowest one)**: 0.000 eV/atom

---

Entry 4:
## LiAl2Ga (GGA-PBE)

Data for a relaxed LiAl2Ga crystal.

Cell and atoms, written as POSCAR:
```
LiAl2Ga
1.0
-3.843 0.055 -0.802
-0.699 -2.162 3.202
-3.229 6.867 6.339
Al Ga Li
4 2 2
Cartesian
-1.738 0.372 3.483
-3.282 1.481 1.487
-6.393 3.315 6.843
-4.127 4.352 5.666
0.000 0.000 0.000
-4.671 2.934 3.369
-3.099 1.826 5.371
-2.271 -1.053 1.200
```

Properties
**Formation enthalpy at 0 K**: 75.0 meV per atom

---

Entry 5:
## PrDy4Se6 (GGA-PBE)

Data for a relaxed PrDy4Se6 crystal.

Cell and atoms, written as POSCAR:
```
PrDy4Se6
1.0
-2.825 0.963 2.727
-2.619 -5.220 -3.865
8.084 -13.892 13.282
Se Dy Pr
12 8 2
Cartesian
3.186 -11.658 10.416
-0.546 -6.490 1.727
-0.259 -7.745 5.465
-1.412 0.482 1.363
1.710 -15.402 10.210
5.480 -14.838 10.919
2.319 -5.132 4.215
2.629 -6.464 8.004
0.322 -13.016 7.928
2.899 -10.403 6.678
0.930 -2.746 1.934
-2.840 -3.310 1.224
-0.276 -9.079 2.922
3.464 -16.292 12.341
-2.284 -5.627 -0.379
-0.824 -1.855 -0.198
2.605 -7.747 5.435
2.916 -9.069 9.221
0.035 -10.401 6.708
4.925 -12.521 12.522
3.276 -13.694 8.232
-0.636 -4.454 3.911
```

Properties
**Final energy**: -5.847 eV/atom

---

Entry 6:
## BaVAs2Se (GGA-PBE)

Data for a relaxed BaVAs2Se crystal.

Cell and atoms, written as POSCAR:
```
BaVAs2Se
1.0
-2.423 -1.749 3.692
4.008 -1.849 1.754
0.920 4.661 2.811
V As Ba Se
1 2 1 1
Cartesian
0.000 0.000 0.000
-1.211 -0.874 1.846
2.004 -0.924 0.877
1.252 0.532 4.129
0.460 2.331 1.406
```

Properties
**Polymorph energy (0 for the lowest one)**: 0.000 eV/atom

---

Entry 7:
## Na2TlO2 (GGA-PBE)

Data for a relaxed Na2TlO2 crystal.

Cell and atoms, written as POSCAR:
```
Na2TlO2
1.0
-2.807 0.689 3.401
-0.458 -5.708 -2.150
5.894 0.871 4.690
O Na Tl
4 4 2
Cartesian
2.884 -4.535 3.300
-0.255 0.387 2.640
-0.324 -2.778 3.225
2.952 -1.370 2.715
4.117 0.535 3.290
-1.488 -4.683 2.650
1.089 -1.001 4.031
1.539 -3.147 1.909
4.154 -2.760 3.989
-1.525 -1.388 1.951
```

Properties
**Polymorph energy (0 for the lowest one)**: 0.000 eV/atom

---

Entry 8:
## MgCrSe (GGA-PBE)

Data for a relaxed MgCrSe crystal.

Cell and atoms, written as POSCAR:
```
MgCrSe
1.0
-2.767 -2.491 1.537
2.326 -3.155 -0.925
2.828 0.401 5.740
Cr Se Mg
2 2 2
Cartesian
1.414 0.201 2.870
1.194 -2.622 3.176
0.749 -0.943 5.096
1.859 -1.479 0.950
-0.875 -1.173 1.800
3.482 -1.248 4.246
```

Properties
**Polymorph energy (0 for the lowest one)**: 0.000 eV/atom

---

Entry 9:
## AlC3Se (GGA-PBE)

Data for a relaxed AlC3Se crystal.

Cell and atoms, written as POSCAR:
```
AlC3Se
1.0
4.004 0.000 0.000
0.000 4.004 0.000
0.000 0.000 4.004
C Al Se
3 1 1
Cartesian
0.000 2.002 0.000
0.000 0.000 2.002
2.002 0.000 0.000
0.000 0.000 0.000
2.002 2.002 2.002
```

Properties
**Polymorph energy (0 for the lowest one)**: 0.000 eV/atom

---

Entry 10:
## TmScP2Rh5 (GGA-PBE)

Data for a relaxed TmScP2Rh5 crystal.

Cell and atoms, written as POSCAR:
```
TmScP2Rh5
1.0
3.990 0.000 0.000
0.000 3.990 0.000
0.000 0.000 10.431
Rh Sc P Tm
5 1 2 1
Cartesian
1.995 0.000 8.537
0.000 1.995 1.893
0.000 1.995 8.537
1.995 1.995 5.215
1.995 0.000 1.893
0.000 0.000 0.000
1.995 1.995 7.478
1.995 1.995 2.953
0.000 0.000 5.215
```

Properties
**Formation enthalpy at 0 K**: -711.9 meV per atom

---

Entry 11:
## MgCu2Se3 (GGA-PBE)

Data for a relaxed MgCu2Se3 crystal.

Cell and atoms, written as POSCAR:
```
MgCu2Se3
1.0
4.220 -3.672 0.003
4.220 3.672 0.003
1.021 0.000 5.500
Cu Se Mg
2 3 1
Cartesian
2.307 0.000 1.343
7.154 0.000 4.164
2.621 -1.836 2.752
2.621 1.836 2.752
4.220 0.000 0.003
4.730 0.000 2.753
```

Properties
**Final energy**: -3.396 eV/atom

---

Entry 12:
## Er2Ga3Cu12Ni (GGA-PBE)

Data for a relaxed Er2Ga3Cu12Ni crystal.

Cell and atoms, written as POSCAR:
```
Er2Ga3Cu12Ni
1.0
-3.750 -6.453 9.608
1.137 -5.215 10.933
-2.722 -1.800 11.720
Cu Er Ni Ga
12 2 1 3
Cartesian
-1.415 -5.017 14.824
-2.476 -4.740 8.422
-3.375 -11.060 22.780
-1.961 -2.408 9.481
-1.908 -7.250 13.811
-3.760 -5.611 14.189
-1.576 -7.857 18.073
-3.427 -6.218 18.450
-2.860 -8.728 23.839
-0.027 -4.119 9.086
-5.309 -9.348 23.175
-3.921 -8.451 17.437
-1.896 -4.785 11.463
-3.440 -8.682 20.798
0.000 0.000 0.000
-1.875 -3.226 4.804
0.568 -2.607 5.466
-1.361 -0.900 5.860
```

Properties
**Formation enthalpy at 0 K**: 30.5 meV per atom

---

Entry 13:
## Mg2PbSe (GGA-PBE)

Data for a relaxed Mg2PbSe crystal.

Cell and atoms, written as POSCAR:
```
Mg2PbSe
1.0
-0.134 4.340 -3.650
-5.514 1.332 0.007
4.534 -0.115 3.407
Mg Pb Se
2 1 1
Cartesian
-5.451 5.474 -3.516
-3.021 3.034 -1.948
-1.902 2.026 0.797
0.788 3.531 -1.032
```

Properties
**Polymorph energy (0 for the lowest one)**: 0.302 eV/atom

---

Entry 14:
## BaTl2HgI6 (GGA-PBE)

Data for a relaxed BaTl2HgI6 crystal.

Cell and atoms, written as POSCAR:
```
BaTl2HgI6
1.0
8.643 0.010 0.003
4.330 7.474 -0.008
4.327 2.486 7.418
I Hg Ba Tl
6 1 1 2
Cartesian
6.215 5.157 5.719
11.956 4.926 1.824
6.934 2.161 1.835
9.714 2.791 5.730
10.026 7.003 5.714
7.050 7.875 1.826
4.325 2.488 0.342
12.972 7.479 4.040
4.331 2.490 6.944
8.651 4.987 3.207
```

Properties
**Final energy**: -2.445 eV/atom

---

Entry 15:
## LiTbNdRu (GGA-PBE)

Data for a relaxed LiTbNdRu crystal.

Cell and atoms, written as POSCAR:
```
LiTbNdRu
1.0
-2.471 3.700 -2.284
-2.309 -0.850 -4.355
-4.997 -0.084 -0.207
Li Nd Ru Tb
1 1 1 1
Cartesian
-2.444 0.692 -1.711
0.000 0.000 0.000
-7.333 2.075 -5.134
-4.888 1.383 -3.423
```

Properties
**Formation enthalpy at 0 K**: -198.0 meV per atom

---

Entry 16:
## TlAg5Pd4 (GGA-PBE)

Data for a relaxed TlAg5Pd4 crystal.

Cell and atoms, written as POSCAR:
```
TlAg5Pd4
1.0
4.533 0.000 -1.098
-0.680 6.696 -2.808
-0.732 -1.303 6.881
Pd Ag Tl
4 5 1
Cartesian
3.566 -0.191 4.815
-0.446 5.585 -1.841
0.917 -0.421 3.784
2.203 5.814 -0.809
2.671 3.804 1.123
3.099 1.702 2.890
1.194 2.045 4.928
0.448 1.589 1.851
0.021 3.692 0.085
1.534 -1.303 6.331
```

Properties
**Polymorph energy (0 for the lowest one)**: 0.000 eV/atom
**Formation enthalpy at 0 K**: 11.1 meV per atom

---

Entry 17:
## CrGaW3 (GGA-PBE)

Data for a relaxed CrGaW3 crystal.

Cell and atoms, written as POSCAR:
```
CrGaW3
1.0
4.506 0.000 0.000
0.000 4.506 0.000
0.000 0.000 4.506
Cr W Ga
1 3 1
Cartesian
0.000 0.000 0.000
0.000 0.000 2.253
0.000 2.253 0.000
2.253 0.000 0.000
2.253 2.253 2.253
```

Properties
**Polymorph energy (0 for the lowest one)**: 0.000 eV/atom
**Formation enthalpy at 0 K**: 1479.7 meV per atom

---

Entry 18:
## P2N (GGA-PBE)

Data for a relaxed P2N crystal.

Cell and atoms, written as POSCAR:
```
P2N
1.0
-0.581 2.394 -1.027
1.076 -1.046 -3.049
-5.154 -1.838 -1.188
N P
1 2
Cartesian
-1.325 0.573 -0.664
-3.321 0.476 -3.230
-2.444 1.485 -1.373
```

Properties
**Polymorph energy (0 for the lowest one)**: 0.000 eV/atom

---

Entry 19:
## NpSi2Ir4 (GGA-PBE)

Data for a relaxed NpSi2Ir4 crystal.

Cell and atoms, written as POSCAR:
```
NpSi2Ir4
1.0
-0.073 -2.329 3.070
5.871 -3.923 -2.837
4.839 4.623 3.621
Ir Si Np
8 4 2
Cartesian
6.899 -2.461 0.715
2.044 1.237 0.986
2.308 -0.952 -0.668
8.665 -0.537 -0.202
4.156 -2.641 0.514
6.480 1.012 3.340
8.401 1.652 1.452
3.737 0.833 3.139
7.762 -0.655 2.106
2.875 -0.974 1.748
5.074 2.673 2.148
5.635 -1.973 -1.363
-0.036 -1.164 1.535
5.355 0.350 0.392
```

Properties
**Final energy**: -9.034 eV/atom

---

Entry 20:
## ZrAlTlHg2 (GGA-PBE)

Data for a relaxed ZrAlTlHg2 crystal.

Cell and atoms, written as POSCAR:
```
ZrAlTlHg2
1.0
5.568 0.000 0.000
0.000 5.732 0.000
0.000 0.000 5.568
Zr Hg Al Tl
1 2 1 1
Cartesian
0.000 0.000 0.000
0.000 0.000 2.784
2.784 0.000 0.000
2.784 2.866 2.784
0.000 2.866 0.000
```

Properties
**Polymorph energy (0 for the lowest one)**: 0.000 eV/atom
**Formation enthalpy at 0 K**: 765.5 meV per atom